# 1
{"formula": "ZnPt3", "functional": "SCAN", "state": "PBEsol geometry", "lattice_angstrom": [[3.871, 0.000, 0.000], [0.000, 3.871, 0.000], [0.000, 0.000, 3.871]], "species": ["Zn", "Pt", "Pt", "Pt"], "frac_coords": [[0.000, 0.000, 0.000], [0.000, 0.500, 0.500], [0.500, 0.000, 0.500], [0.500, 0.500, 0.000]], "space_group": "Pm-3m", "density_g_cm3": 18.6, "m_tot_mub_per_atom": 0.0000, "formation_enthalpy_0k_kj_per_mol_fu": -142, "dos_ef_per_ev_atom": 0.7100}

=====

# 2
{"formula": "ZnPt3", "functional": "SCAN", "state": "PBEsol geometry", "lattice_angstrom": [[2.751, 0.000, 0.000], [-1.376, 2.383, 0.000], [0.000, 0.000, 8.878]], "species": ["Zn", "Pt", "Pt", "Pt"], "frac_coords": [[0.000, 0.000, 0.000], [0.000, 0.000, 0.500], [0.333, 0.667, 0.233], [0.333, 0.667, 0.767]], "space_group": "P-6m2", "density_g_cm3": 18.6, "m_tot_mub_per_atom": 0.0000, "formation_enthalpy_0k_kj_per_mol_fu": -92, "dos_ef_per_ev_atom": 0.7683}

=====

# 3
{"formula": "Zn3Pt2", "functional": "SCAN", "state": "PBEsol geometry", "lattice_angstrom": [[0.000, 6.412, 2.526], [4.336, 0.000, 2.526], [4.336, 6.412, 0.000]], "species": ["Zn", "Zn", "Zn", "Zn", "Zn", "Zn", "Pt", "Pt", "Pt", "Pt"], "frac_coords": [[0.000, 0.000, 0.000], [0.250, 0.250, 0.250], [0.421, 0.538, 0.375], [0.538, 0.421, 0.666], [0.584, 0.875, 0.712], [0.875, 0.584, 0.829], [0.107, 0.759, 0.292], [0.408, 0.958, 0.491], [0.759, 0.107, 0.842], [0.958, 0.408, 0.143]], "space_group": "Fdd2", "density_g_cm3": 13.9, "m_tot_mub_per_atom": 0.0000, "formation_enthalpy_0k_kj_per_mol_fu": -233, "dos_ef_per_ev_atom": 0.2755}

=====

# 4
{"formula": "ZnPt3", "functional": "SCAN", "state": "PBEsol geometry", "lattice_angstrom": [[2.748, 0.000, 0.000], [0.000, 4.624, 0.000], [0.000, 0.000, 9.217]], "species": ["Zn", "Zn", "Pt", "Pt", "Pt", "Pt", "Pt", "Pt"], "frac_coords": [[0.000, 0.000, 0.000], [0.500, 0.500, 0.500], [0.000, 0.000, 0.500], [0.000, 0.500, 0.259], [0.000, 0.500, 0.741], [0.500, 0.000, 0.241], [0.500, 0.000, 0.759], [0.500, 0.500, 0.000]], "space_group": "Immm", "density_g_cm3": 18.5, "m_tot_mub_per_atom": 0.0000, "formation_enthalpy_0k_kj_per_mol_fu": -95, "dos_ef_per_ev_atom": 0.7382}

=====

# 5
{"formula": "Zn2Pt", "functional": "SCAN", "state": "PBEsol geometry", "lattice_angstrom": [[2.782, 0.000, 0.000], [0.000, 2.782, 0.000], [0.000, 0.000, 22.948]], "species": ["Zn", "Zn", "Zn", "Zn", "Zn", "Zn", "Zn", "Zn", "Pt", "Pt", "Pt", "Pt"], "frac_coords": [[0.000, 0.250, 0.298], [0.000, 0.250, 0.452], [0.000, 0.750, 0.548], [0.000, 0.750, 0.702], [0.500, 0.250, 0.048], [0.500, 0.250, 0.202], [0.500, 0.750, 0.798], [0.500, 0.750, 0.952], [0.000, 0.250, 0.875], [0.000, 0.750, 0.125], [0.500, 0.250, 0.625], [0.500, 0.750, 0.375]], "space_group": "I4_1/amd", "density_g_cm3": 12.2, "m_tot_mub_per_atom": 0.0000, "formation_enthalpy_0k_kj_per_mol_fu": -108, "dos_ef_per_ev_atom": 0.2113}

=====

# 6
{"formula": "Zn2Pt", "functional": "SCAN", "state": "PBEsol geometry", "lattice_angstrom": [[4.195, 0.000, 0.000], [-2.098, 3.633, 0.000], [0.000, 0.000, 2.727]], "species": ["Zn", "Zn", "Pt"], "frac_coords": [[0.333, 0.667, 0.393], [0.667, 0.333, 0.607], [0.000, 0.000, 0.000]], "space_group": "P-3m1", "density_g_cm3": 13.0, "m_tot_mub_per_atom": 0.0000, "formation_enthalpy_0k_kj_per_mol_fu": -126, "dos_ef_per_ev_atom": 0.2247}

=====

# 7
{"formula": "ZrZnPt2", "functional": "SCAN", "state": "PBEsol geometry", "lattice_angstrom": [[2.862, 0.000, 0.000], [0.000, 3.519, 0.000], [0.000, 0.000, 6.333]], "species": ["Zr", "Zn", "Pt", "Pt"], "frac_coords": [[0.000, 0.000, 0.000], [0.000, 0.000, 0.500], [0.500, 0.500, 0.272], [0.500, 0.500, 0.728]], "space_group": "Pmmm", "density_g_cm3": 14.2, "m_tot_mub_per_atom": 0.0000, "formation_enthalpy_0k_kj_per_mol_fu": -363, "dos_ef_per_ev_atom": 0.4877}

=====

# 8
{"formula": "ZrZnPt2", "functional": "SCAN", "state": "PBEsol geometry", "lattice_angstrom": [[6.376, 0.000, 0.000], [0.000, 6.376, 0.000], [0.000, 0.000, 6.376]], "species": ["Zr", "Zr", "Zr", "Zr", "Zn", "Zn", "Zn", "Zn", "Pt", "Pt", "Pt", "Pt", "Pt", "Pt", "Pt", "Pt"], "frac_coords": [[0.000, 0.000, 0.000], [0.000, 0.500, 0.500], [0.500, 0.000, 0.500], [0.500, 0.500, 0.000], [0.000, 0.000, 0.500], [0.000, 0.500, 0.000], [0.500, 0.000, 0.000], [0.500, 0.500, 0.500], [0.250, 0.250, 0.250], [0.250, 0.250, 0.750], [0.250, 0.750, 0.250], [0.250, 0.750, 0.750], [0.750, 0.250, 0.250], [0.750, 0.250, 0.750], [0.750, 0.750, 0.250], [0.750, 0.750, 0.750]], "space_group": "Fm-3m", "density_g_cm3": 14.0, "m_tot_mub_per_atom": 0.0000, "formation_enthalpy_0k_kj_per_mol_fu": -373, "dos_ef_per_ev_atom": 0.4468}